Entry 1:
Here is a geometry-optimized BaLi2CaH structure from the Alexandria database. Energies are from PBE.

Computed properties:
As for the symmetry: P4/mmm, No. 123. The value obtained for the total energy is -2.168 eV/atom.

```
BaLi2CaH
1.0
5.411 0.000 0.000
0.000 5.411 0.000
0.000 0.000 5.084
Ba Li Ca H
1 2 1 1
Direct
0.000 0.000 0.000
0.000 0.500 0.500
0.500 0.000 0.500
0.500 0.500 0.000
0.000 0.000 0.500
```

Entry 2:
Here is a geometry-optimized Cs3SmU2S6 structure from the Alexandria database. Energies are from PBE.

Computed properties:
The value obtained for the uncorrected formation energy is -17.88 eV/f.u. As for the symmetry: C2/m, No. 12. The value obtained for the total energy is -6.042 eV/atom.

```
Cs3SmU2S6
1.0
3.577 -6.197 0.000
3.577 6.197 0.000
-2.385 0.000 8.109
Cs Sm U S
3 1 2 6
Direct
0.000 0.000 0.000
0.335 0.665 0.000
0.665 0.335 0.000
0.500 0.500 0.500
0.167 0.833 0.500
0.833 0.167 0.500
0.099 0.439 0.317
0.221 0.221 0.683
0.439 0.099 0.317
0.561 0.901 0.683
0.779 0.779 0.317
0.901 0.561 0.683
```

Entry 3:
Here is a geometry-optimized CdB2Pt4 structure from the Alexandria database. Energies are from PBE.

Computed properties:
As for the symmetry: Cc, No. 9. The value obtained for the total energy is -5.659 eV/atom. The formation enthalpy at 0 K is -0.1690 eV per atom.

```
CdB2Pt4
1.0
3.769 -3.943 0.000
3.769 3.943 0.000
-3.740 0.000 7.017
Cd B Pt
2 4 8
Direct
0.124 0.876 0.500
0.876 0.124 0.000
0.007 0.555 0.839
0.417 0.468 0.660
0.468 0.417 0.160
0.555 0.007 0.339
0.198 0.701 0.150
0.297 0.301 0.349
0.301 0.297 0.849
0.322 0.796 0.837
0.701 0.198 0.650
0.709 0.736 0.164
0.736 0.709 0.664
0.796 0.322 0.337
```

Entry 4:
Here is a geometry-optimized BaHf3Nb structure from the Alexandria database. Energies are from PBE.

Computed properties:
As for the symmetry: Pm-3m, No. 221. The value obtained for the total energy is -7.578 eV/atom. For the polymorph energy (0 for the lowest one), the calculation gives 0.0000 eV per atom. The formation enthalpy at 0 K is 0.7925 eV per atom.

```
BaHf3Nb
1.0
5.287 0.000 0.000
0.000 5.287 0.000
0.000 0.000 5.287
Ba Hf Nb
1 3 1
Direct
0.000 0.000 0.000
0.000 0.500 0.500
0.500 0.000 0.500
0.500 0.500 0.000
0.500 0.500 0.500
```

Entry 5:
Here is a geometry-optimized AlSi4Rh structure from the Alexandria database. Energies are from PBE.

Computed properties:
The value obtained for the uncorrected formation energy is 2.20 eV/f.u. As for the symmetry: F-43m, No. 216. The value obtained for the total energy is -5.097 eV/atom.

```
AlSi4Rh
1.0
0.000 3.538 3.538
3.538 0.000 3.538
3.538 3.538 0.000
Al Si Rh
1 4 1
Direct
0.000 0.000 0.000
0.375 0.375 0.375
0.375 0.375 0.876
0.375 0.876 0.375
0.876 0.375 0.375
0.750 0.750 0.750
```

Entry 6:
Here is a geometry-optimized Pm2SiSn structure from the Alexandria database. Energies are from PBE.

Computed properties:
The value obtained for the uncorrected formation energy is -2.98 eV/f.u. As for the symmetry: P2_1/m, No. 11. The value obtained for the total energy is -5.476 eV/atom.

```
Pm2SiSn
1.0
6.116 0.000 0.000
0.000 4.133 0.000
-2.652 0.000 8.432
Pm Si Sn
4 2 2
Direct
0.192 0.250 0.420
0.276 0.750 0.060
0.724 0.250 0.940
0.808 0.750 0.580
0.123 0.250 0.793
0.877 0.750 0.207
0.375 0.750 0.710
0.625 0.250 0.290
```

Entry 7:
Here is a geometry-optimized Ac3MgIr8 structure from the Alexandria database. Energies are from PBE.

Computed properties:
As for the symmetry: R3m, No. 160. The value obtained for the total energy is -7.518 eV/atom. The formation enthalpy at 0 K is -0.4508 eV per atom.

```
Ac3MgIr8
1.0
2.751 1.588 8.983
-2.751 1.588 8.983
0.000 -3.176 8.983
Ac Mg Ir
3 1 8
Direct
0.000 0.000 0.000
0.127 0.127 0.127
0.620 0.620 0.620
0.496 0.496 0.496
0.060 0.060 0.559
0.060 0.559 0.060
0.067 0.563 0.563
0.312 0.312 0.312
0.559 0.060 0.060
0.563 0.067 0.563
0.563 0.563 0.067
0.812 0.812 0.812
```

Entry 8:
Here is a geometry-optimized LiAcPmAl structure from the Alexandria database. Energies are from PBE.

Computed properties:
As for the symmetry: F-43m, No. 216. The value obtained for the total energy is -3.766 eV/atom. The formation enthalpy at 0 K is -0.1368 eV per atom.

```
LiAcPmAl
1.0
0.000 3.861 3.861
3.861 0.000 3.861
3.861 3.861 0.000
Li Ac Pm Al
1 1 1 1
Direct
0.000 0.000 0.000
0.750 0.750 0.750
0.250 0.250 0.250
0.500 0.500 0.500
```

One value per record, in order, for total magnetization: 0.0 6.0 0.0 0.0 0.0 0.0 0.0 0.0 Bohr magnetons per cell.